Entry 1:
This record from Alexandria via LeMat-Bulk describes SrCaP2S after structural relaxation. The functional is PBE.

The space group is P4/mmm (No. 123) and the conventional cell measures 5.362, 5.362 and 5.421 Å, with angles of 90.00, 90.00 and 90.00 degrees. The asymmetric unit holds Sr at (0.000, 0.000, 0.000), Ca at (0.500, 0.500, 0.500), P at (0.000, 0.500, 0.000) and S at (0.000, 0.000, 0.500).

The value obtained for the total energy is -3.533 eV/atom. As for the offset from the most stable computed form: 383 meV/atom. Its total magnetization is 0.0 μB/f.u.

---

Entry 2:
This record from Alexandria via LeMat-Bulk describes K3PaSn2Te6 after structural relaxation. The functional is PBE.

The space group is C2/m (No. 12) and the conventional cell measures 8.033, 13.912 and 8.485 Å, with angles of 90.00, 108.40 and 90.00 degrees. The asymmetric unit holds K at (0.000, 0.000, 0.000), K at (0.000, 0.327, 0.000), Pa at (0.000, 0.500, 0.500), Sn at (0.000, 0.165, 0.500), Te at (0.227, 0.342, 0.706) and Te at (0.247, 0.500, 0.293).

The value obtained for the total energy is -4.128 eV/atom. Its total magnetization is 0.0 μB/f.u.

---

Entry 3:
This record from Alexandria via LeMat-Bulk describes AcDyGa2Au5 after structural relaxation. The functional is PBE.

The space group is P4/mmm (No. 123) and the conventional cell measures 4.879, 4.879 and 8.493 Å, with angles of 90.00, 90.00 and 90.00 degrees. The asymmetric unit holds Ac at (0.000, 0.000, 0.000), Dy at (0.000, 0.000, 0.500), Ga at (0.500, 0.500, 0.351), Au at (0.000, 0.500, 0.260) and Au at (0.500, 0.500, 0.000).

The value obtained for the total energy is -3.982 eV/atom. Its total magnetization is 0.0 μB/f.u.

---

Entry 4:
This record from Alexandria via LeMat-Bulk describes MgSc2B after structural relaxation. The functional is PBE.

The space group is R-3m (No. 166, hexagonal axes) and the conventional cell measures 3.2166, 3.2166 and 29.7170 Å, with angles of 90.00, 90.00 and 120.00 degrees. The asymmetric unit holds Mg at (0.0000, 0.0000, 0.0000), Sc at (0.0000, 0.0000, 0.4201) and B at (0.0000, 0.0000, 0.5000).

The value obtained for the total energy is -4.343 eV/atom. As for the offset from the most stable computed form: 794 meV/atom. Its total magnetization is 0.0 μB/f.u.

---

Entry 5:
This record from Alexandria via LeMat-Bulk describes Rb2MnGeS after structural relaxation. The functional is PBE.

The space group is P4/mmm (No. 123) and the conventional cell measures 6.772, 6.772 and 4.791 Å, with angles of 90.00, 90.00 and 90.00 degrees. The asymmetric unit holds Rb at (0.000, 0.500, 0.000), Mn at (0.000, 0.000, 0.500), Ge at (0.000, 0.000, 0.000) and S at (0.500, 0.500, 0.500).

The value obtained for the total energy is -3.680 eV/atom. Its total magnetization is 3.8 μB/f.u.

---

Entry 6:
This record from Alexandria via LeMat-Bulk describes NbCoH after structural relaxation. The functional is PBE.

The space group is C2/m (No. 12) and the conventional cell measures 9.146, 2.808 and 4.833 Å, with angles of 90.00, 101.14 and 90.00 degrees. The asymmetric unit holds Nb at (0.112, 0.000, 0.334), Co at (0.127, 0.500, 0.863) and H at (0.234, 0.000, 0.770).

The value obtained for the total energy is -6.945 eV/atom. As for the offset from the most stable computed form: 15 meV/atom. Its total magnetization is 0.0 μB/f.u.

---

Entry 7:
This record from Alexandria via LeMat-Bulk describes AgPt2W after structural relaxation. The functional is PBE.

The space group is P4/mmm (No. 123) and the conventional cell measures 4.030, 4.030 and 3.959 Å, with angles of 90.00, 90.00 and 90.00 degrees. The asymmetric unit holds Ag at (0.000, 0.000, 0.000), Pt at (0.000, 0.500, 0.500) and W at (0.500, 0.500, 0.000).

The value obtained for the total energy is -6.648 eV/atom. As for the offset from the most stable computed form: 529 meV/atom. Its total magnetization is 0.0 μB/f.u.

---

Entry 8:
This record from Alexandria via LeMat-Bulk describes Cs2AcPbBr6 after structural relaxation. The functional is PBE.

The space group is Pmmn (No. 59, origin choice 2) and the conventional cell measures 8.251, 11.925 and 9.864 Å, with angles of 90.00, 90.00 and 90.00 degrees. The asymmetric unit holds Cs at (0.250, 0.020, 0.187), Ac at (0.250, 0.750, 0.772), Pb at (0.250, 0.250, 0.713), Br at (0.002, 0.250, 0.003), Br at (0.024, 0.250, 0.427) and Br at (0.250, 0.004, 0.796).

The value obtained for the total energy is -3.487 eV/atom. Its total magnetization is 1.0 μB/f.u.

---

Entry 9:
This record from Alexandria via LeMat-Bulk describes BePSO2 after structural relaxation. The functional is PBE.

The space group is P4/mmm (No. 123) and the conventional cell measures 3.241, 3.241 and 6.993 Å, with angles of 90.00, 90.00 and 90.00 degrees. The asymmetric unit holds Be at (0.000, 0.000, 0.000), P at (0.000, 0.000, 0.500), S at (0.500, 0.500, 0.500) and O at (0.000, 0.500, 0.000).

The value obtained for the total energy is -4.909 eV/atom. Its total magnetization is 0.5 μB/f.u.

---

Entry 10:
This record from Alexandria via LeMat-Bulk describes ZnSnTeO6 after structural relaxation. The functional is PBE.

The space group is P-31c (No. 163) and the conventional cell measures 5.1922, 5.1922 and 8.9933 Å, with angles of 90.00, 90.00 and 120.00 degrees. The asymmetric unit holds Zn at (0.3333, 0.6667, 0.2500), Sn at (0.0000, 0.0000, 0.0000), Te at (0.3333, 0.6667, 0.7500) and O at (0.0213, 0.3530, 0.6288).

The value obtained for the total energy is -5.474 eV/atom. Its total magnetization is 0.0 μB/f.u.

---

Entry 11:
This record from Alexandria via LeMat-Bulk describes MnCdIn after structural relaxation. The functional is PBE.

The space group is P3m1 (No. 156) and the conventional cell measures 4.7124, 4.7124 and 3.0967 Å, with angles of 90.00, 90.00 and 120.00 degrees. The asymmetric unit holds Mn at (0.0000, 0.0000, 0.0000), Cd at (0.3333, 0.6667, 0.3599) and In at (0.6667, 0.3333, 0.6526).

The value obtained for the total energy is -3.972 eV/atom. Its total magnetization is 3.5 μB/f.u.

---

Entry 12:
This record from Alexandria via LeMat-Bulk describes Tb4AlCdHg2 after structural relaxation. The functional is PBE.

The space group is R-3m (No. 166, hexagonal axes) and the conventional cell measures 5.2651, 5.2651 and 25.7986 Å, with angles of 90.00, 90.00 and 120.00 degrees. The asymmetric unit holds Tb at (0.0000, 0.0000, 0.1220), Tb at (0.0000, 0.0000, 0.3722), Al at (0.0000, 0.0000, 0.0000), Cd at (0.0000, 0.0000, 0.5000) and Hg at (0.0000, 0.0000, 0.2467).

The value obtained for the total energy is -3.370 eV/atom. Its total magnetization is 0.0 μB/f.u.